Record 1
The following is a meta-GGA SCAN calculation of LiSb2TeMo at its PBEsol-relaxed geometry, from Alexandria.

Cell lengths 4.790, 4.790, 5.038 Å; angles 90.00, 90.00, 90.00 degrees
Space group P4/mmm (No. 123)
Inequivalent atoms, fractional coordinates:
1 Li 0.000 0.000 0.000
2 Sb 0.000 0.500 0.000
3 Te 0.000 0.000 0.500
4 Mo 0.500 0.500 0.500

**DOS at the Fermi energy**: 2.46 states/eV/cell
**DFT total energy**: -144.92 eV per cell
**Raw formation energy**: 4.1 eV per formula unit
**Mass density**: 6.81 g cm⁻³



Record 2
The following is a meta-GGA SCAN calculation of BaPrCuTe3 at its PBEsol-relaxed geometry, from Alexandria.

Cell lengths 4.438, 14.712, 11.613 Å; angles 90.00, 90.00, 90.00 degrees
Space group Cmcm (No. 63)
Inequivalent atoms, fractional coordinates:
1 Ba 0.000 0.248 0.250
2 Pr 0.000 0.500 0.000
3 Cu 0.000 0.033 0.750
4 Te 0.000 0.142 0.569
5 Te 0.000 0.430 0.750

**DFT total energy**: -872.75 eV per cell
**Raw formation energy**: -8.4 eV per formula unit
**Mass density**: 6.35 g cm⁻³



Record 3
The following is a meta-GGA SCAN calculation of K2ICl at its PBEsol-relaxed geometry, from Alexandria.

Cell lengths 8.401, 8.401, 9.339 Å; angles 90.00, 90.00, 90.00 degrees
Space group I-42d (No. 122)
Inequivalent atoms, fractional coordinates:
1 K 0.211 0.750 0.125
2 I 0.000 0.000 0.500
3 Cl 0.000 0.000 0.000

**DOS at the Fermi energy**: 0.00 states/eV/cell
**DFT total energy**: -274.35 eV per cell
**Raw formation energy**: -7.2 eV per formula unit
**Mass density**: 2.42 g cm⁻³



Record 4
The following is a meta-GGA SCAN calculation of InW4 at its PBEsol-relaxed geometry, from Alexandria.

Cell lengths 6.159, 6.159, 4.362 Å; angles 90.00, 90.00, 90.00 degrees
Space group I4/m (No. 87)
Inequivalent atoms, fractional coordinates:
1 In 0.000 0.000 0.000
2 W 0.083 0.699 0.500

**DOS at the Fermi energy**: 6.54 states/eV/cell
**DFT total energy**: -619.06 eV per cell
**Mass density**: 17.07 g cm⁻³
**E_form**: 0.52 eV/atom



Record 5
The following is a meta-GGA SCAN calculation of MgAlS2 at its PBEsol-relaxed geometry, from Alexandria.

Cell lengths 5.555, 5.555, 11.158 Å; angles 90.00, 90.00, 90.00 degrees
Space group I-42d (No. 122)
Inequivalent atoms, fractional coordinates:
1 Mg 0.000 0.000 0.000
2 Al 0.000 0.000 0.500
3 S 0.228 0.250 0.625

**DOS at the Fermi energy**: 10.88 states/eV/cell
**DFT total energy**: -142.84 eV per cell
**Raw formation energy**: -3.7 eV per formula unit
**Mass density**: 2.23 g cm⁻³



Record 6
The following is a meta-GGA SCAN calculation of Al2InBr at its PBEsol-relaxed geometry, from Alexandria.

Cell lengths 3.284, 5.338, 5.092 Å; angles 90.00, 93.65, 90.00 degrees
Space group P2/m (No. 10)
Inequivalent atoms, fractional coordinates:
1 Al 0.236 0.000 0.259
2 In 0.000 0.500 0.500
3 Br 0.500 0.500 0.000

**DOS at the Fermi energy**: 1.57 states/eV/cell
**DFT total energy**: -67.74 eV per cell
**Raw formation energy**: 0.6 eV per formula unit
**Energy above the lowest structure with this stoichiometry**: 5 meV per atom
**Mass density**: 4.64 g cm⁻³



Record 7
The following is a meta-GGA SCAN calculation of HfCoPS2 at its PBEsol-relaxed geometry, from Alexandria.

Cell lengths 4.796, 4.796, 4.975 Å; angles 90.00, 90.00, 90.00 degrees
Space group P4/mmm (No. 123)
Inequivalent atoms, fractional coordinates:
1 Hf 0.000 0.000 0.000
2 Co 0.500 0.500 0.500
3 P 0.000 0.000 0.500
4 S 0.000 0.500 0.000

**DOS at the Fermi energy**: 3.95 states/eV/cell
**DFT total energy**: -108.64 eV per cell
**Raw formation energy**: 1.0 eV per formula unit
**Energy above the lowest structure with this stoichiometry**: 140 meV per atom
**Mass density**: 4.83 g cm⁻³



Record 8
The following is a meta-GGA SCAN calculation of La3CdIr at its PBEsol-relaxed geometry, from Alexandria.

Cell lengths 5.891, 6.557, 8.519 Å; angles 101.12, 103.16, 112.15 degrees
Space group P-1 (No. 2)
Inequivalent atoms, fractional coordinates:
1 La 0.083 0.192 0.312
2 La 0.290 0.813 0.100
3 La 0.330 0.441 0.748
4 Cd 0.323 0.772 0.487
5 Ir 0.236 0.190 0.988

**DOS at the Fermi energy**: 7.30 states/eV/cell
**DFT total energy**: -467.82 eV per cell
**Mass density**: 8.49 g cm⁻³
**E_form**: -0.62 eV/atom



Record 9
The following is a meta-GGA SCAN calculation of Sc2BeAu at its PBEsol-relaxed geometry, from Alexandria.

Cell lengths 6.552, 6.552, 6.552 Å; angles 90.00, 90.00, 90.00 degrees
Space group Fm-3m (No. 225)
Inequivalent atoms, fractional coordinates:
1 Sc 0.250 0.250 0.250
2 Be 0.000 0.000 0.000
3 Au 0.000 0.000 0.500

**DOS at the Fermi energy**: 8.56 states/eV/cell
**DFT total energy**: -417.00 eV per cell
**Mass density**: 6.99 g cm⁻³
**E_form**: -0.57 eV/atom



Record 10
The following is a meta-GGA SCAN calculation of Mn2V3SnP6O24 at its PBEsol-relaxed geometry, from Alexandria.

Cell lengths 8.5737, 8.5737, 20.9129 Å; angles 90.00, 90.00, 120.00 degrees
Space group R3 (No. 146, hexagonal axes)
Inequivalent atoms, fractional coordinates:
1 Mn 0.0000 0.0000 0.0000
2 Mn 0.0000 0.0000 0.4958
3 V 0.0000 0.0000 0.1401
4 V 0.0000 0.0000 0.3529
5 V 0.0000 0.0000 0.6390
6 Sn 0.0000 0.0000 0.8530
7 P 0.0040 0.7125 0.2468
8 P 0.0379 0.3703 0.4119
9 O 0.9997 0.1913 0.6866
10 O 0.0075 0.8137 0.3071
11 O 0.0139 0.1789 0.4167
12 O 0.0225 0.8349 0.9210
13 O 0.1303 0.4597 0.4752
14 O 0.1419 0.6680 0.8525
15 O 0.1694 0.4851 0.7411
16 O 0.1694 0.6854 0.2410

**DOS at the Fermi energy**: 33.73 states/eV/cell
**DFT total energy**: -1275.15 eV per cell
**Raw formation energy**: -88.2 eV per formula unit
**Mass density**: 3.56 g cm⁻³



Record 11
The following is a meta-GGA SCAN calculation of Sc2TlAs at its PBEsol-relaxed geometry, from Alexandria.

Cell lengths 3.966, 4.036, 10.522 Å; angles 90.00, 90.00, 90.00 degrees
Space group Amm2 (No. 38)
Inequivalent atoms, fractional coordinates:
1 Sc 0.000 0.000 0.000
2 Sc 0.500 0.000 0.264
3 Tl 0.500 0.000 0.533
4 As 0.000 0.000 0.738

**DOS at the Fermi energy**: 4.31 states/eV/cell
**DFT total energy**: -248.34 eV per cell
**Energy above the lowest structure with this stoichiometry**: 175 meV per atom
**Mass density**: 7.28 g cm⁻³
**E_form**: -0.79 eV/atom



Record 12
The following is a meta-GGA SCAN calculation of Ba2TmCu3O7 at its PBEsol-relaxed geometry, from Alexandria.

Cell lengths 3.780, 3.853, 11.486 Å; angles 90.00, 90.00, 90.00 degrees
Space group Pmmm (No. 47)
Inequivalent atoms, fractional coordinates:
1 Ba 0.000 0.000 0.182
2 Tm 0.000 0.000 0.500
3 Cu 0.500 0.500 0.000
4 Cu 0.500 0.500 0.355
5 O 0.000 0.500 0.381
6 O 0.500 0.000 0.000
7 O 0.500 0.000 0.380
8 O 0.500 0.500 0.162

**DOS at the Fermi energy**: 2.80 states/eV/cell
**DFT total energy**: -247.09 eV per cell
**Raw formation energy**: -26.9 eV per formula unit
**Mass density**: 7.41 g cm⁻³